DFT (PBE) results for an optimized crystal structure of Zr4Co.

Summary:
V: 20.701 A^3/atom
ΔE_f: -0.10 eV/atom
uncorrected energy: -8.36 eV/atom
mass density: 6.80 g/cm³
SG: C2/c

Lattice parameters (Å, degrees): 8.0217 5.3027 7.6267 69.65 58.27 48.61
Last column: nearest neighbours and their distance in Å.
Fractional positions:
Zr  0.7456  0.8331  0.8419  2 Co 2.61, 1 Zr 2.87
Zr  0.6704  0.6490  0.3607  2 Co 2.83-2.84, 3 Zr 3.12-3.16
Zr  0.3296  0.3510  0.6393  2 Co 2.83-2.84, 3 Zr 3.12-3.16
Zr  0.5875  0.3331  0.1581  2 Co 2.61, 1 Zr 2.87
Zr  0.4125  0.6669  0.8419  2 Co 2.61, 1 Zr 2.87
Zr  0.0312  0.1490  0.6393  2 Co 2.83-2.84, 3 Zr 3.12-3.16
Zr  0.9688  0.8510  0.3607  2 Co 2.83-2.84, 3 Zr 3.12-3.16
Zr  0.2544  0.1669  0.1581  2 Co 2.61, 1 Zr 2.87
Co  0.9998  0.2500  0.0005  8 Zr 2.61-2.84, 2 Co 2.65
Co  0.0002  0.7500  0.9995  8 Zr 2.61-2.84, 2 Co 2.65